Entry from the Alexandria database: TcRuSe2 after structural relaxation (PBE).

```
TcRuSe2
1.0
5.530 0.000 0.001
2.955 4.674 -0.001
-3.804 -3.134 2.508
Ru Se Tc
1 2 1
Direct
0.771 0.271 0.500
0.986 0.986 0.000
0.267 0.767 0.500
0.477 0.477 0.000
```

Properties
Its raw total energy is -6.368 eV/atom. Its uncorrected formation energy is 0.29 eV per atom. Its relative energy among the computed polymorphs is 362.1 meV/atom. As for the crystal system: orthorhombic.